## KRb3Fe2F9 (GGA+U)

Data for an optimized crystal structure of KRb3Fe2F9.

Lattice parameters (Å, degrees): 6.1808 6.1808 7.7404 90.00 90.00 120.00
With the nearest neighbours (Å) after each atom.
Atoms (fractional coordinates):
F  0.5000  0.5000  0.0000  2 Fe 2.13
F  0.0000  0.5000  0.0000  2 Fe 2.13
F  0.8187  0.1813  0.7071  1 Fe 1.97
F  0.1813  0.8187  0.2929  1 Fe 1.97
F  0.1813  0.3627  0.2929  1 Fe 1.97
F  0.6373  0.8187  0.2929  1 Fe 1.97
F  0.8187  0.6373  0.7071  1 Fe 1.97
F  0.3627  0.1813  0.7071  1 Fe 1.97
F  0.5000  0.0000  0.0000  2 Fe 2.13
Rb  0.6667  0.3333  0.3347  12 F 3.11-3.31
Rb  0.0000  0.0000  0.0000  12 F 2.98-3.09
Rb  0.3333  0.6667  0.6653  12 F 3.11-3.31
Fe  0.6667  0.3333  0.8504  6 F 1.97-2.13
Fe  0.3333  0.6667  0.1496  6 F 1.97-2.13
K  0.0000  0.0000  0.5000  6 F 2.52

Output
**SG**: P-3m1, No. 164
**Final energy**: -71.880 eV per cell